An optimized crystal structure of LaTeO5, computed with GGA-PBE.

Total magnetic moment, μB/cell: 0.845
Energy relative to the elements, uncorrected, meV/atom: -1696
Crystal system: orthorhombic
Volume, Å³/cell: 200.53

Lattice parameters (Å, degrees): 6.3887 6.3887 6.3887 68.45 71.25 108.14
With the nearest neighbours (Å) after each atom.
Fractional positions:
O (0.2500, 0.0986, 0.6514)  2 Te 1.99
O (0.7440, 0.7440, 0.0000)  1 Te 1.92
O (0.7500, 0.9014, 0.3486)  2 Te 1.99
O (0.2560, 0.2560, 0.0000)  1 Te 1.92
Te (0.5000, 0.0000, 0.5000)  6 O 1.91-1.99
La (0.7500, 0.5307, 0.7193)  7 O 2.43-2.66
O (0.2440, 0.7440, 0.5000)  1 Te 1.92
O (0.4445, 0.7402, 0.8153)  1 Te 1.91
O (0.5555, 0.2598, 0.1847)  1 Te 1.91
La (0.2500, 0.4693, 0.2807)  7 O 2.43-2.66
Te (0.0000, 0.0000, 0.0000)  6 O 1.91-1.99
O (0.7560, 0.2560, 0.5000)  1 Te 1.92
O (0.9445, 0.2598, 0.7957)  1 Te 1.91
O (0.0555, 0.7402, 0.2043)  1 Te 1.91

An optimized crystal structure of LaTeO3, computed with GGA-PBE.

Total magnetic moment, μB/cell: 0.000
Energy relative to the elements, uncorrected, meV/atom: -2061
Crystal system: monoclinic
Volume, Å³/cell: 345.37

Lattice parameters (Å, degrees): 6.6738 6.7326 7.6941 90.00 92.55 90.00
With the nearest neighbours (Å) after each atom.
Fractional positions:
O (0.8993, 0.3211, 0.5283)  1 Te 1.94
O (0.2308, 0.5314, 0.8981)  1 Te 2.08
Te (0.7704, 0.0999, 0.6414)  3 O 1.94-2.08
O (0.0401, 0.8664, 0.1431)  1 Te 2.05
O (0.7692, 0.4686, 0.1019)  1 Te 2.08
O (0.6007, 0.8211, 0.9717)  1 Te 1.94
La (0.7379, 0.6131, 0.3807)  6 O 2.37-2.53
Te (0.2704, 0.4001, 0.1414)  3 O 1.94-2.08
La (0.2379, 0.8869, 0.8807)  6 O 2.37-2.53
O (0.4599, 0.3664, 0.3569)  1 Te 2.05
O (0.7308, 0.9686, 0.3981)  1 Te 2.08
O (0.1007, 0.6789, 0.4717)  1 Te 1.94
La (0.2621, 0.3869, 0.6193)  6 O 2.37-2.53
O (0.2692, 0.0314, 0.6019)  1 Te 2.08
Te (0.7296, 0.5999, 0.8586)  3 O 1.94-2.08
Te (0.2296, 0.9001, 0.3586)  3 O 1.94-2.08
O (0.9599, 0.1336, 0.8569)  1 Te 2.05
O (0.5401, 0.6336, 0.6431)  1 Te 2.05
O (0.3993, 0.1789, 0.0283)  1 Te 1.94
La (0.7621, 0.1131, 0.1193)  6 O 2.37-2.53

Which formula does entry 1 have? LaTeO5